--- P ---
The following is a PBE-GGA calculation of crystalline K2MgPt2 at its relaxed geometry, from Alexandria via LeMat-Bulk.

Properties
- Space-group type: I4/mmm
- Crystal system: tetragonal

Lattice parameters (Å, degrees): 4.1134 4.1134 7.9216 74.95 74.95 90.00
Atoms (fractional coordinates):
Mg1 0.0000 0.0000 0.0000
Pt1 0.5876 0.5876 0.8247
Pt2 0.4124 0.4124 0.1753
K1 0.7500 0.2500 0.5000
K2 0.2500 0.7500 0.5000

--- Q ---
The following is a PBE-GGA calculation of crystalline K2MgPt2 at its relaxed geometry, from Alexandria via LeMat-Bulk.

Properties
- Space-group type: P4/mbm
- Crystal system: tetragonal

Lattice parameters (Å, degrees): 6.8467 6.8467 5.3971 90.00 90.00 90.00
Atoms (fractional coordinates):
Pt1 0.6336 0.1336 0.0000
Pt2 0.3664 0.8664 0.0000
Mg1 0.0000 0.0000 0.0000
Pt3 0.1336 0.3664 0.0000
K1 0.1702 0.6702 0.5000
Mg2 0.5000 0.5000 0.0000
K2 0.8298 0.3298 0.5000
K3 0.6702 0.8298 0.5000
Pt4 0.8664 0.6336 0.0000
K4 0.3298 0.1702 0.5000

Which is the most stable structure? Q is the most stable.

--- P ---
The following is a PBE-GGA calculation of crystalline KRbMg6 at its relaxed geometry, from Alexandria via LeMat-Bulk.

Properties
- Space-group type: Amm2
- Crystal system: orthorhombic

Lattice parameters (Å, degrees): 8.7154 8.7154 5.0592 90.00 90.00 135.46
Atoms (fractional coordinates):
Mg1 0.7123 0.7760 0.0000
Mg2 0.2240 0.2877 0.0000
Mg3 0.3322 0.1757 0.5000
Rb1 0.3075 0.6925 0.5000
Mg4 0.1309 0.8691 0.0000
Mg5 0.6429 0.3571 0.0000
Mg6 0.8243 0.6678 0.5000
K1 0.8257 0.1743 0.5000

--- Q ---
The following is a PBE-GGA calculation of crystalline KRbMg6 at its relaxed geometry, from Alexandria via LeMat-Bulk.

Properties
- Space-group type: Amm2
- Crystal system: orthorhombic

Lattice parameters (Å, degrees): 7.9105 7.9105 5.0913 90.00 90.00 113.45
Atoms (fractional coordinates):
Rb1 0.3968 0.6032 0.5000
Mg1 0.6407 0.9997 0.0000
Mg2 0.8605 0.5021 0.5000
Mg3 0.4979 0.1395 0.5000
Mg4 0.8901 0.1099 0.5000
K1 0.1015 0.8985 0.0000
Mg5 0.0003 0.3593 0.0000
Mg6 0.6121 0.3879 0.0000

Which is the most stable structure? P is the most stable.

--- P ---
The following is a PBE-GGA calculation of crystalline K2RbMg2 at its relaxed geometry, from Alexandria via LeMat-Bulk.

Properties
- Space-group type: P4/mbm
- Crystal system: tetragonal

Lattice parameters (Å, degrees): 11.1416 11.1416 4.0206 90.00 90.00 90.00
Atoms (fractional coordinates):
K1 0.1290 0.3710 0.0000
Rb1 0.0000 0.0000 0.0000
Mg1 0.8331 0.3331 0.5000
Mg2 0.1669 0.6669 0.5000
K2 0.3710 0.8710 0.0000
K3 0.8710 0.6290 0.0000
Mg3 0.3331 0.1669 0.5000
K4 0.6290 0.1290 0.0000
Mg4 0.6669 0.8331 0.5000
Rb2 0.5000 0.5000 0.0000

--- Q ---
The following is a PBE-GGA calculation of crystalline K2RbMg2 at its relaxed geometry, from Alexandria via LeMat-Bulk.

Properties
- Space-group type: I4/mmm
- Crystal system: tetragonal

Lattice parameters (Å, degrees): 4.4011 4.4011 14.6122 81.34 81.34 90.00
Atoms (fractional coordinates):
Rb1 0.0000 0.0000 0.0000
Mg1 0.7500 0.2500 0.5000
K1 0.6383 0.6383 0.7234
K2 0.3617 0.3617 0.2766
Mg2 0.2500 0.7500 0.5000

--- R ---
The following is a PBE-GGA calculation of crystalline K2RbMg2 at its relaxed geometry, from Alexandria via LeMat-Bulk.

Properties
- Space-group type: P4/mbm
- Crystal system: tetragonal

Lattice parameters (Å, degrees): 10.5014 10.5014 4.6502 90.00 90.00 90.00
Atoms (fractional coordinates):
Mg1 0.6055 0.1055 0.0000
K1 0.6782 0.8218 0.5000
Rb1 0.0000 0.0000 0.0000
K2 0.8218 0.3218 0.5000
Mg2 0.3945 0.8945 0.0000
K3 0.1782 0.6782 0.5000
Mg3 0.1055 0.3945 0.0000
Rb2 0.5000 0.5000 0.0000
K4 0.3218 0.1782 0.5000
Mg4 0.8945 0.6055 0.0000

Which is the most stable structure? Q is the most stable.

--- P ---
The following is a PBE-GGA calculation of crystalline KRbMg2 at its relaxed geometry, from Alexandria via LeMat-Bulk.

Properties
- Space-group type: I-42d
- Crystal system: tetragonal

Lattice parameters (Å, degrees): 10.3481 10.3481 8.1406 50.54 50.54 90.00
Atoms (fractional coordinates):
K1 0.2500 0.7500 0.5000
K2 0.5000 0.5000 0.0000
Mg1 0.6174 0.1250 0.2500
Mg2 0.3750 0.3826 0.7500
Rb1 0.0000 0.0000 0.0000
Rb2 0.7500 0.2500 0.5000
Mg3 0.1326 0.6250 0.2500
Mg4 0.8750 0.8674 0.7500

--- Q ---
The following is a PBE-GGA calculation of crystalline KRbMg2 at its relaxed geometry, from Alexandria via LeMat-Bulk.

Properties
- Space-group type: Fm-3m
- Crystal system: cubic

Lattice parameters (Å, degrees): 6.4169 6.4169 6.4169 60.00 60.00 60.00
Atoms (fractional coordinates):
Mg1 0.7500 0.7500 0.7500
K1 0.0000 0.0000 0.0000
Rb1 0.5000 0.5000 0.5000
Mg2 0.2500 0.2500 0.2500

Which is the most stable structure? Q is the most stable.

--- P ---
The following is a PBE-GGA calculation of crystalline K3RbMg at its relaxed geometry, from Alexandria via LeMat-Bulk.

Properties
- Space-group type: Pm-3m
- Crystal system: cubic

Lattice parameters (Å, degrees): 7.8195 7.8195 7.8195 90.00 90.00 90.00
Atoms (fractional coordinates):
K1 0.0000 0.0000 0.5000
Rb1 0.0000 0.0000 0.0000
K2 0.5000 0.0000 0.0000
K3 0.0000 0.5000 0.0000
Mg1 0.5000 0.5000 0.5000

--- Q ---
The following is a PBE-GGA calculation of crystalline K3RbMg at its relaxed geometry, from Alexandria via LeMat-Bulk.

Properties
- Space-group type: Pm-3m
- Crystal system: cubic

Lattice parameters (Å, degrees): 7.1828 7.1828 7.1828 90.00 90.00 90.00
Atoms (fractional coordinates):
K1 0.0000 0.5000 0.0000
K2 0.0000 0.0000 0.5000
Mg1 0.0000 0.0000 0.0000
K3 0.5000 0.0000 0.0000
Rb1 0.5000 0.5000 0.5000

Which is the most stable structure? Q is the most stable.

--- P ---
The following is a PBE-GGA calculation of crystalline KMg2Re at its relaxed geometry, from Alexandria via LeMat-Bulk.

Properties
- Space-group type: P4/mmm
- Crystal system: tetragonal

Lattice parameters (Å, degrees): 8.0254 5.2858 2.9074 90.07 68.66 131.23
Atoms (fractional coordinates):
K1 0.5000 0.5000 0.0000
Re1 0.0000 0.5000 0.5000
Mg1 0.5000 0.0000 0.5000
Mg2 0.0000 0.0000 0.0000

--- Q ---
The following is a PBE-GGA calculation of crystalline KMg2Re at its relaxed geometry, from Alexandria via LeMat-Bulk.

Properties
- Space-group type: Pmmm
- Crystal system: orthorhombic

Lattice parameters (Å, degrees): 2.7755 5.9814 5.5394 90.00 90.00 90.00
Atoms (fractional coordinates):
Mg1 0.5000 0.5000 0.0000
K1 0.0000 0.5000 0.5000
Mg2 0.0000 0.0000 0.0000
Re1 0.5000 0.0000 0.5000

Which is the most stable structure? P is the most stable.

--- P ---
The following is a PBE-GGA calculation of crystalline KMg2Re at its relaxed geometry, from Alexandria via LeMat-Bulk.

Properties
- Space-group type: F-43m
- Crystal system: cubic

Lattice parameters (Å, degrees): 5.0818 5.0818 5.0818 60.00 60.00 60.00
Atoms (fractional coordinates):
Mg1 0.0000 0.0000 0.0000
K1 0.5000 0.5000 0.5000
Mg2 0.2500 0.2500 0.2500
Re1 0.7500 0.7500 0.7500

--- Q ---
The following is a PBE-GGA calculation of crystalline KMg2Re at its relaxed geometry, from Alexandria via LeMat-Bulk.

Properties
- Space-group type: Cmmm
- Crystal system: orthorhombic

Lattice parameters (Å, degrees): 2.8700 2.8700 10.9512 90.00 90.00 106.27
Atoms (fractional coordinates):
Re1 0.5000 0.5000 0.2500
K1 0.5000 0.5000 0.7500
Mg1 0.0000 0.0000 0.4504
Mg2 0.0000 0.0000 0.0496

--- R ---
The following is a PBE-GGA calculation of crystalline KMg2Re at its relaxed geometry, from Alexandria via LeMat-Bulk.

Properties
- Space-group type: I-42d
- Crystal system: tetragonal

Lattice parameters (Å, degrees): 5.7005 5.7005 10.0666 73.55 73.55 90.00
Atoms (fractional coordinates):
Mg1 0.8798 0.6250 0.2500
Mg2 0.3750 0.1298 0.7500
Mg3 0.8702 0.1250 0.2500
K1 0.2500 0.7500 0.5000
Re1 0.0000 0.0000 0.0000
Re2 0.7500 0.2500 0.5000
Mg4 0.8750 0.1202 0.7500
K2 0.5000 0.5000 0.0000

--- S ---
The following is a PBE-GGA calculation of crystalline KMg2Re at its relaxed geometry, from Alexandria via LeMat-Bulk.

Properties
- Space-group type: Immm
- Crystal system: orthorhombic

Lattice parameters (Å, degrees): 6.8536 6.8536 6.8536 156.62 127.78 57.96
Atoms (fractional coordinates):
K1 0.2500 0.7500 0.5000
Re1 0.7500 0.2500 0.5000
Mg1 0.9512 0.9512 0.0000
Mg2 0.5488 0.5488 0.0000

Which is the most stable structure? Q is the most stable.

--- P ---
The following is a PBE-GGA calculation of crystalline KMg2Re at its relaxed geometry, from Alexandria via LeMat-Bulk.

Properties
- Space-group type: Cm
- Crystal system: monoclinic

Lattice parameters (Å, degrees): 5.0692 5.0692 7.8015 87.53 87.53 31.92
Atoms (fractional coordinates):
Re1 0.4909 0.4909 0.6071
K1 0.2460 0.2460 0.2820
Mg1 0.7542 0.7542 0.7015
Mg2 0.0090 0.0090 0.9094

--- Q ---
The following is a PBE-GGA calculation of crystalline KMg2Re at its relaxed geometry, from Alexandria via LeMat-Bulk.

Properties
- Space-group type: Cmm2
- Crystal system: orthorhombic

Lattice parameters (Å, degrees): 2.8454 2.8454 10.9948 90.00 90.00 106.79
Atoms (fractional coordinates):
K1 0.5000 0.5000 0.7277
Re1 0.0000 0.0000 0.4695
Mg1 0.0000 0.0000 0.0311
Mg2 0.5000 0.5000 0.2717

Which is the most stable structure? Q is the most stable.